An optimized crystal structure of PtF2, computed with PBE-GGA.

Computed properties:
total DFT energy (no corrections): -17.30 eV/cell
total magnetization: 0.67 μB per formula unit

abc: 4.522 4.522 4.522
angles: 60.00 60.00 60.00
Fractional positions:
Pt  0.125  0.125  0.125
Pt  0.875  0.875  0.875
F  0.000  0.500  0.500
F  0.500  0.000  0.500
F  0.500  0.500  0.000
F  0.500  0.500  0.500

=====

An optimized crystal structure of PtF2, computed with PBE-GGA.

Computed properties:
total DFT energy (no corrections): -24.55 eV/cell
total magnetization: 0.25 μB per formula unit

abc: 2.710 8.232 3.303
angles: 90.00 90.00 90.00
Fractional positions:
Pt  0.000  0.000  0.000
Pt  0.500  0.500  0.500
F  0.026  0.148  0.500
F  0.474  0.648  0.000
F  0.526  0.352  0.000
F  0.974  0.852  0.500

=====

An optimized crystal structure of PtF, computed with PBE-GGA.

Computed properties:
total magnetization: 0.12 μB per formula unit
distance to the lowest polymorph of the same formula: 0 meV per atom

abc: 2.687 2.687 4.035
angles: 90.00 90.00 120.00
Fractional positions:
Pt  0.000  0.000  0.000
F  0.333  0.667  0.500

=====

An optimized crystal structure of PtF2, computed with PBE-GGA.

Computed properties:
total DFT energy (no corrections): -21.39 eV/cell
total magnetization: 0.05 μB per formula unit

abc: 6.686 6.686 6.686
angles: 60.00 60.00 60.00
Fractional positions:
Pt  0.125  0.125  0.125
Pt  0.875  0.875  0.875
F  0.000  0.000  0.000
F  0.000  0.000  0.500
F  0.000  0.500  0.000
F  0.500  0.000  0.000

=====

An optimized crystal structure of PtF, computed with PBE-GGA.

Computed properties:
total magnetization: 0.01 μB per formula unit
distance to the lowest polymorph of the same formula: 476 meV per atom

abc: 3.391 3.391 3.391
angles: 60.00 60.00 60.00
Fractional positions:
Pt  0.000  0.000  0.000
F  0.500  0.500  0.500

=====

An optimized crystal structure of Pt2F, computed with PBE-GGA.

Computed properties:
total magnetization: 0.98 μB per formula unit
distance to the lowest polymorph of the same formula: 0 meV per atom

abc: 5.189 5.189 5.189
angles: 60.00 60.00 60.00
Fractional positions:
Pt  0.000  0.000  0.000
Pt  0.000  0.000  0.500
Pt  0.000  0.500  0.000
Pt  0.500  0.000  0.000
F  0.375  0.375  0.375
F  0.625  0.625  0.625

=====

An optimized crystal structure of PtF, computed with PBE-GGA.

Computed properties:
total magnetization: 1.26 μB per formula unit
distance to the lowest polymorph of the same formula: 658 meV per atom

abc: 3.642 3.642 3.642
angles: 60.00 60.00 60.00
Fractional positions:
Pt  0.000  0.000  0.000
F  0.250  0.250  0.250

=====

An optimized crystal structure of PtS2F6, computed with PBE-GGA.

Computed properties:
total DFT energy (no corrections): -36.27 eV/cell
total magnetization: 0.00 μB per formula unit

abc: 3.861 4.842 6.774
angles: 100.85 94.97 94.39
Fractional positions:
Pt  0.000  0.000  0.000
S  0.369  0.294  0.239
S  0.631  0.706  0.761
F  0.141  0.565  0.283
F  0.288  0.194  0.443
F  0.322  0.074  0.797
F  0.678  0.926  0.203
F  0.712  0.806  0.557
F  0.859  0.435  0.717